Entry 1:
This record from Alexandria describes a geometry-optimized CrPbBr2 structure. The functional is PBE.

Results
E_form (uncorrected)	10	meV per atom
E above lowest polymorph	307	meV/atom

Cell lengths 8.2702, 8.5142, 3.6184 Å; angles 90.00, 95.31, 90.00 degrees
With the nearest neighbours (Å) after each atom.
Space group C2/m (No. 12)
Asymmetric unit:
1 Cr 0.0000 0.0000 0.0000 (multiplicity 2)  4 Br 2.97
2 Pb 0.0000 0.5000 0.0000 (multiplicity 2)  4 Br 2.97
3 Br 0.2500 0.2500 0.0000 (multiplicity 4)  2 Cr 2.97, 2 Pb 2.97

Entry 2:
This record from Alexandria describes a geometry-optimized K3Ba2PuO6 structure. The functional is PBE.

Results
E_form (uncorrected)	-2273	meV per atom

Cell lengths 6.6060, 11.5027, 6.6492 Å; angles 90.00, 109.45, 90.00 degrees
With the nearest neighbours (Å) after each atom.
Space group C2/m (No. 12)
Asymmetric unit:
1 K 0.0000 0.0000 0.0000 (multiplicity 2)  4 O 2.79
2 K 0.0000 0.3451 0.0000 (multiplicity 4)  4 O 2.73-2.77
3 Ba 0.0000 0.1676 0.5000 (multiplicity 4)  6 O 2.71-2.73
4 Pu 0.0000 0.5000 0.5000 (multiplicity 2)  6 O 2.18-2.19
5 O 0.2018 0.3635 0.6970 (multiplicity 8)  1 Pu 2.19
6 O 0.2118 0.5000 0.3086 (multiplicity 4)  1 Pu 2.18

Entry 3:
This record from Alexandria describes a geometry-optimized SrIn4P structure. The functional is PBE.

Results
E_form	-178	meV/atom
E above lowest polymorph	7	meV/atom

Cell lengths 3.9651, 18.3543, 9.0227 Å; angles 90.00, 90.00, 90.00 degrees
With the nearest neighbours (Å) after each atom.
Space group Cmcm (No. 63)
Asymmetric unit:
1 Sr 0.0000 0.1235 0.2500 (multiplicity 4)  2 P 3.07
2 In 0.0000 0.0680 0.7500 (multiplicity 4)  8 In 3.25-3.34, 1 P 3.32, 1 Sr 3.52
3 In 0.0000 0.3180 0.0630 (multiplicity 8)  3 P 2.88-3.10
4 In 0.0000 0.5000 0.0000 (multiplicity 4)  6 In 3.25-3.39
5 P 0.0000 0.2487 0.7500 (multiplicity 4)  6 In 2.88-3.10, 2 Sr 3.07

Entry 4:
This record from Alexandria describes a geometry-optimized AcInCl structure. The functional is PBE.

Results
E_form (uncorrected)	-1060	meV per atom

Cell lengths 20.7972, 4.1470, 9.3192 Å; angles 90.00, 92.24, 90.00 degrees
With the nearest neighbours (Å) after each atom.
Space group C2/m (No. 12)
Asymmetric unit:
1 Ac 0.1155 0.0000 0.1259 (multiplicity 4)  4 Cl 3.02-3.22
2 Ac 0.1218 0.0000 0.6021 (multiplicity 4)  3 Cl 2.93-3.13
3 In 0.2461 0.0000 0.8775 (multiplicity 4)  4 In 3.08-3.11
4 In 0.2483 0.0000 0.3705 (multiplicity 4)  4 In 3.11-3.18, 3 Ac 3.41-3.47
5 Cl 0.0371 0.0000 0.8464 (multiplicity 4)  3 Ac 2.93-3.19
6 Cl 0.0739 0.5000 0.3695 (multiplicity 4)  4 Ac 3.13-3.22

Entry 5:
This record from Alexandria describes a geometry-optimized Ce4Ge2N structure. The functional is PBE.

Results
E_form (uncorrected)	-829	meV per atom
E above lowest polymorph	0	meV/atom

Cell lengths 4.7108, 4.7108, 15.4876 Å; angles 90.00, 90.00, 90.00 degrees
With the nearest neighbours (Å) after each atom.
Space group I4/mmm (No. 139)
Asymmetric unit:
1 Ce 0.0000 0.0000 0.1683 (multiplicity 4)  1 N 2.61
2 Ce 0.0000 0.5000 0.0000 (multiplicity 4)  2 N 2.36
3 Ge 0.0000 0.0000 0.3641 (multiplicity 4)  9 Ce 3.03-3.37
4 N 0.0000 0.0000 0.0000 (multiplicity 2)  6 Ce 2.36-2.61

Entry 6:
This record from Alexandria describes a geometry-optimized Zr3CdC structure. The functional is PBE.

Results
E_form	730	meV/atom
E above lowest polymorph	1159	meV/atom

Cell lengths 4.2168, 4.2168, 7.9408 Å; angles 90.00, 90.00, 90.00 degrees
With the nearest neighbours (Å) after each atom.
Space group P4mm (No. 99)
Asymmetric unit:
1 Zr 0.0000 0.0000 0.0000 (multiplicity 1)  1 Cd 3.07, 4 Zr 3.21
2 Zr 0.0000 0.5000 0.6959 (multiplicity 2)  2 C 2.22
3 Cd 0.0000 0.0000 0.3862 (multiplicity 1)  5 Zr 3.07-3.24
4 C 0.5000 0.5000 0.6095 (multiplicity 1)  4 Zr 2.22

In the order shown, the computed mass density values come out to 5485, 5102, 5845, 6240, 6955, 4682 kg/m³.
In the order shown, the computed M_tot values come out to 10.3, 6.0, 0.0, 0.0, 5.4, 0.0 Bohr magnetons per cell.